No. 1
Here is crystalline V2ZnGe2 at its relaxed geometry from Alexandria. Energies are from GGA-PBE.

Cell lengths 6.621, 6.621, 3.362 Å; angles 90.00, 90.00, 90.00 degrees
Space group P4/mbm (No. 127)
Symmetry-distinct sites (fractional):
V: 0.158 0.342 0.000
Zn: 0.000 0.000 0.500
Ge: 0.139 0.639 0.500

Values from the calculation:
Fermi-level density of states: 9.42 states/eV/cell
offset from the most stable computed form: 0.007 eV/atom
energy: -0.424 Ry/atom

---

No. 2
Here is crystalline V12Zn3Ge at its relaxed geometry from Alexandria. Energies are from GGA-PBE.

Cell lengths 4.761, 4.773, 9.522 Å; angles 90.00, 90.00, 90.00 degrees
Space group Pmmm (No. 47)
Symmetry-distinct sites (fractional):
V: 0.000 0.000 0.121
V: 0.000 0.000 0.372
V: 0.250 0.500 0.252
V: 0.500 0.250 0.000
V: 0.500 0.251 0.500
Zn: 0.000 0.500 0.000
Zn: 0.500 0.000 0.250
Ge: 0.000 0.500 0.500

Values from the calculation:
Fermi-level density of states: 29.67 states/eV/cell
energy: -0.545 Ry/atom

---

No. 3
Here is crystalline VZnGe3 at its relaxed geometry from Alexandria. Energies are from GGA-PBE.

Cell lengths 4.781, 4.781, 4.781 Å; angles 90.00, 90.00, 90.00 degrees
Space group Pm-3m (No. 221)
Symmetry-distinct sites (fractional):
V: 0.000 0.000 0.000
Zn: 0.500 0.500 0.500
Ge: 0.000 0.000 0.500

Values from the calculation:
Fermi-level density of states: 3.90 states/eV/cell
offset from the most stable computed form: 0.000 eV/atom
energy: -0.332 Ry/atom

---

No. 4
Here is crystalline V2ZnGe at its relaxed geometry from Alexandria. Energies are from GGA-PBE.

Cell lengths 3.229, 3.229, 5.429 Å; angles 90.00, 90.00, 90.00 degrees
Space group P4/mmm (No. 123)
Symmetry-distinct sites (fractional):
V: 0.000 0.000 0.226
Zn: 0.500 0.500 0.500
Ge: 0.500 0.500 0.000

Values from the calculation:
Fermi-level density of states: 3.21 states/eV/cell
energy: -0.444 Ry/atom

---

No. 5
Here is crystalline V2ZnGe at its relaxed geometry from Alexandria. Energies are from GGA-PBE.

Cell lengths 6.797, 6.797, 5.216 Å; angles 90.00, 90.00, 90.00 degrees
Space group I-42d (No. 122)
Symmetry-distinct sites (fractional):
V: 0.243 0.750 0.125
Zn: 0.000 0.000 0.500
Ge: 0.000 0.000 0.000

Values from the calculation:
Fermi-level density of states: 8.40 states/eV/cell
energy: -0.425 Ry/atom

---

No. 6
Here is crystalline VZnGe2 at its relaxed geometry from Alexandria. Energies are from GGA-PBE.

Cell lengths 2.9601, 2.9601, 26.3789 Å; angles 90.00, 90.00, 120.00 degrees
Space group R-3m (No. 166, hexagonal axes)
Symmetry-distinct sites (fractional):
V: 0.0000 0.0000 0.0000
Zn: 0.0000 0.0000 0.5000
Ge: 0.0000 0.0000 0.4066

Values from the calculation:
Fermi-level density of states: 9.50 states/eV/cell
energy: -0.356 Ry/atom

---

No. 7
Here is crystalline VZnGe2 at its relaxed geometry from Alexandria. Energies are from GGA-PBE.

Cell lengths 3.9125, 3.9125, 15.6266 Å; angles 90.00, 90.00, 120.00 degrees
Space group R3m (No. 160, hexagonal axes)
Symmetry-distinct sites (fractional):
V: 0.0000 0.0000 0.0000
Zn: 0.0000 0.0000 0.8241
Ge: 0.0000 0.0000 0.4113
Ge: 0.0000 0.0000 0.5835

Values from the calculation:
Fermi-level density of states: 7.90 states/eV/cell
energy: -0.350 Ry/atom

---

No. 8
Here is crystalline V6ZnGe3 at its relaxed geometry from Alexandria. Energies are from GGA-PBE.

Cell lengths 7.929, 12.149, 6.235 Å; angles 90.00, 90.00, 90.00 degrees
Space group Cmc2_1 (No. 36)
Symmetry-distinct sites (fractional):
V: 0.000 0.056 0.000
V: 0.000 0.271 0.768
V: 0.189 0.435 0.815
V: 0.225 0.206 0.023
Zn: 0.000 0.184 0.338
Ge: 0.000 0.416 0.470
Ge: 0.186 0.107 0.668

Values from the calculation:
Fermi-level density of states: 38.67 states/eV/cell
energy: -0.516 Ry/atom

---

| no. | ΔE_f (eV/atom) |
| --- | --- |
| 1 | -0.02 |
| 2 | -0.04 |
| 3 | 0.33 |
| 4 | 0.00 |
| 5 | 0.25 |
| 6 | 0.07 |
| 7 | 0.15 |
| 8 | -0.04 |